(1)
A plane-wave DFT calculation with PBE-GGA was carried out for an optimized crystal structure of LuCuSnTeSe2.

abc: 7.1438 7.1438 10.9642
angles: 90.00 90.00 147.09
Atoms (fractional coordinates):
Lu (0.0000, 0.0000, 0.0000)
Lu (0.0000, 0.0000, 0.5000)
Cu (0.4660, 0.5340, 0.7500)
Cu (0.5340, 0.4660, 0.2500)
Sn (0.2144, 0.7856, 0.2500)
Sn (0.7856, 0.2144, 0.7500)
Te (0.0934, 0.9066, 0.7500)
Te (0.9066, 0.0934, 0.2500)
Se (0.3645, 0.6355, 0.5641)
Se (0.3645, 0.6355, 0.9359)
Se (0.6355, 0.3645, 0.0641)
Se (0.6355, 0.3645, 0.4359)

---

(2)
A plane-wave DFT calculation with PBE-GGA was carried out for an optimized crystal structure of SrLuCuTe2Se.

abc: 7.5366 7.5366 10.6010
angles: 90.00 90.00 147.55
Atoms (fractional coordinates):
Sr (0.2339, 0.7661, 0.7500)
Sr (0.7661, 0.2339, 0.2500)
Lu (0.5000, 0.5000, 0.0000)
Lu (0.5000, 0.5000, 0.5000)
Cu (0.0254, 0.9746, 0.2500)
Cu (0.9746, 0.0254, 0.7500)
Te (0.1431, 0.8569, 0.0599)
Te (0.1431, 0.8569, 0.4401)
Te (0.8569, 0.1431, 0.5599)
Te (0.8569, 0.1431, 0.9401)
Se (0.4300, 0.5700, 0.2500)
Se (0.5700, 0.4300, 0.7500)

---

(3)
A plane-wave DFT calculation with PBE-GGA was carried out for an optimized crystal structure of Lu3Tl2Cu5Se8.

abc: 7.4454 7.4454 14.6764
angles: 109.83 109.83 31.63
Atoms (fractional coordinates):
Lu (0.0000, 0.0000, 0.0000)
Lu (0.1361, 0.1361, 0.3851)
Lu (0.8354, 0.8354, 0.6169)
Tl (0.1584, 0.1584, 0.7950)
Tl (0.8089, 0.8089, 0.2007)
Cu (0.3879, 0.3879, 0.4624)
Cu (0.4514, 0.4514, 0.8094)
Cu (0.5281, 0.5281, 0.1933)
Cu (0.5838, 0.5838, 0.5377)
Cu (0.7839, 0.7839, 0.9698)
Se (0.1249, 0.1249, 0.1935)
Se (0.1866, 0.1866, 0.5874)
Se (0.3776, 0.3776, 0.0449)
Se (0.4768, 0.4768, 0.6435)
Se (0.4946, 0.4946, 0.3575)
Se (0.6081, 0.6081, 0.9525)
Se (0.7862, 0.7862, 0.4151)
Se (0.8536, 0.8536, 0.8141)

---

(4)
A plane-wave DFT calculation with PBE-GGA was carried out for an optimized crystal structure of TmLuCuSe3.

abc: 6.8201 6.8201 10.2773
angles: 90.00 90.00 147.29
Atoms (fractional coordinates):
Tm (0.2250, 0.7750, 0.7500)
Tm (0.7750, 0.2250, 0.2500)
Lu (0.0000, 0.0000, 0.0000)
Lu (0.0000, 0.0000, 0.5000)
Cu (0.4775, 0.5225, 0.2500)
Cu (0.5225, 0.4775, 0.7500)
Se (0.1012, 0.8988, 0.2500)
Se (0.3541, 0.6459, 0.0704)
Se (0.3541, 0.6459, 0.4296)
Se (0.6459, 0.3541, 0.5704)
Se (0.6459, 0.3541, 0.9296)
Se (0.8988, 0.1012, 0.7500)

---

(5)
A plane-wave DFT calculation with PBE-GGA was carried out for an optimized crystal structure of LuCu2Si.

abc: 6.2913 6.2913 6.2913
angles: 90.00 90.00 90.00
Atoms (fractional coordinates):
Lu (0.0000, 0.0000, 0.0000)
Lu (0.0000, 0.5000, 0.5000)
Lu (0.5000, 0.0000, 0.5000)
Lu (0.5000, 0.5000, 0.0000)
Cu (0.0000, 0.0000, 0.5000)
Cu (0.0000, 0.5000, 0.0000)
Cu (0.2500, 0.2500, 0.2500)
Cu (0.2500, 0.7500, 0.7500)
Cu (0.5000, 0.0000, 0.0000)
Cu (0.5000, 0.5000, 0.5000)
Cu (0.7500, 0.2500, 0.7500)
Cu (0.7500, 0.7500, 0.2500)
Si (0.2500, 0.2500, 0.7500)
Si (0.2500, 0.7500, 0.2500)
Si (0.7500, 0.2500, 0.2500)
Si (0.7500, 0.7500, 0.7500)

---

(6)
A plane-wave DFT calculation with PBE-GGA was carried out for an optimized crystal structure of LuCuSi2.

abc: 6.4925 6.4925 6.4925
angles: 90.00 90.00 90.00
Atoms (fractional coordinates):
Lu (0.0000, 0.0000, 0.0000)
Lu (0.0000, 0.5000, 0.5000)
Lu (0.5000, 0.0000, 0.5000)
Lu (0.5000, 0.5000, 0.0000)
Cu (0.2500, 0.2500, 0.2500)
Cu (0.2500, 0.7500, 0.7500)
Cu (0.7500, 0.2500, 0.7500)
Cu (0.7500, 0.7500, 0.2500)
Si (0.0000, 0.0000, 0.5000)
Si (0.0000, 0.5000, 0.0000)
Si (0.2500, 0.2500, 0.7500)
Si (0.2500, 0.7500, 0.2500)
Si (0.5000, 0.0000, 0.0000)
Si (0.5000, 0.5000, 0.5000)
Si (0.7500, 0.2500, 0.2500)
Si (0.7500, 0.7500, 0.7500)

---

In the order shown, the computed spin magnetization values come out to 0.0; 0.0; 0.0; 0.0; 0.0; 0.0 μB per formula unit.
In the order shown, the computed electronic total energy values come out to -54.6; -54.8; -81.1; -62.0; -72.7; -75.9 eV for the cell shown.